1.
Na2ZnBiO4 after structural relaxation. Source: Alexandria, functional GGA-PBE.

Unit cell a=5.4020 b=5.4020 c=8.8784 alpha=90.00 beta=90.00 gamma=90.00
Last column: nearest neighbours and their distance in Å.
Space group I-4 (No. 82)
Inequivalent atoms, fractional coordinates:
Na: 0.0000 0.0000 0.0000 (multiplicity 2)  4 O 2.36
Na: 0.0000 0.5000 0.2500 (multiplicity 2)  4 O 2.36
Zn: 0.0000 0.5000 0.7500 (multiplicity 2)  4 O 2.00
Bi: 0.0000 0.0000 0.5000 (multiplicity 2)  4 O 2.15
O: 0.2068 0.7394 0.6330 (multiplicity 8)  1 Zn 2.00, 1 Bi 2.15



2.
SiBF after structural relaxation. Source: Alexandria, functional GGA-PBE.

Unit cell a=3.6480 b=4.6835 c=5.1532 alpha=83.36 beta=72.60 gamma=67.26
Last column: nearest neighbours and their distance in Å.
Space group P1 (No. 1)
Inequivalent atoms, fractional coordinates:
Si: 0.0000 0.0000 0.0000 (multiplicity 1)  3 B 2.06-2.14
Si: 0.4064 0.8834 0.5407 (multiplicity 1)  1 F 1.67
B: 0.5330 0.8059 0.1469 (multiplicity 1)  1 B 1.65
B: 0.7638 0.4772 0.9753 (multiplicity 1)  1 F 1.54, 1 B 1.65
F: 0.6106 0.1491 0.5311 (multiplicity 1)  1 Si 1.67
F: 0.8256 0.5476 0.6701 (multiplicity 1)  1 B 1.54

ΔE to the lowest computed polymorph: 78 meV/atom



3.
Si3PtSe after structural relaxation. Source: Alexandria, functional GGA-PBE.

Unit cell a=4.7280 b=4.7280 c=4.7280 alpha=90.00 beta=90.00 gamma=90.00
Last column: nearest neighbours and their distance in Å.
Space group Pm-3m (No. 221)
Inequivalent atoms, fractional coordinates:
Si: 0.0000 0.0000 0.5000 (multiplicity 3)  2 Pt 2.36
Pt: 0.0000 0.0000 0.0000 (multiplicity 1)  6 Si 2.36
Se: 0.5000 0.5000 0.5000 (multiplicity 1)  12 Si 3.34

ΔE to the lowest computed polymorph: 0 meV/atom



4.
Rb2TaRuW after structural relaxation. Source: Alexandria, functional GGA-PBE.

Unit cell a=6.4934 b=6.4934 c=4.6326 alpha=90.00 beta=90.00 gamma=90.00
Last column: nearest neighbours and their distance in Å.
Space group P4/mmm (No. 123)
Inequivalent atoms, fractional coordinates:
Rb: 0.0000 0.5000 0.0000 (multiplicity 2)  2 Ru 3.25
Ta: 0.0000 0.0000 0.5000 (multiplicity 1)  2 Ru 2.32
Ru: 0.0000 0.0000 0.0000 (multiplicity 1)  2 Ta 2.32
W: 0.5000 0.5000 0.5000 (multiplicity 1)  8 Rb 3.99

E_form: 2373 meV/atom



5.
Sr4Cd5Pt2 after structural relaxation. Source: Alexandria, functional GGA-PBE.

Unit cell a=7.7376 b=4.2109 c=9.9403 alpha=90.00 beta=93.97 gamma=90.00
Last column: nearest neighbours and their distance in Å.
Space group P2/m (No. 10)
Inequivalent atoms, fractional coordinates:
Sr: 0.1769 0.0000 0.3562 (multiplicity 2)  2 Pt 3.08
Sr: 0.2281 0.0000 0.9423 (multiplicity 2)  4 Pt 3.18, 4 Cd 3.52-3.53
Cd: 0.1853 0.5000 0.6584 (multiplicity 2)  1 Pt 2.91, 2 Cd 2.99-3.18
Cd: 0.4428 0.5000 0.1852 (multiplicity 2)  1 Pt 2.89, 2 Cd 3.13-3.18
Cd: 0.5000 0.5000 0.5000 (multiplicity 1)  4 Cd 2.99-3.13
Pt: 0.0697 0.5000 0.1394 (multiplicity 2)  2 Cd 2.89-2.91, 1 Pt 2.90, 6 Sr 3.08-3.18

E_form: -484 meV/atom



6.
Mg4TcPb after structural relaxation. Source: Alexandria, functional GGA-PBE.

Unit cell a=7.8869 b=7.8869 c=7.8869 alpha=90.00 beta=90.00 gamma=90.00
Last column: nearest neighbours and their distance in Å.
Space group F-43m (No. 216)
Inequivalent atoms, fractional coordinates:
Mg: 0.1239 0.1239 0.3761 (multiplicity 16)  6 Mg 2.76-2.81
Tc: 0.2500 0.2500 0.7500 (multiplicity 4)  12 Mg 3.27, 4 Pb 3.42
Pb: 0.0000 0.0000 0.0000 (multiplicity 4)  12 Mg 3.27, 4 Tc 3.42

E_form: 432 meV/atom



7.
ZrZnAs after structural relaxation. Source: Alexandria, functional GGA-PBE.

Unit cell a=6.4185 b=6.4185 c=6.4185 alpha=90.00 beta=90.00 gamma=90.00
Last column: nearest neighbours and their distance in Å.
Space group F-43m (No. 216)
Inequivalent atoms, fractional coordinates:
Zr: 0.0000 0.0000 0.0000 (multiplicity 4)  4 As 2.78, 4 Zn 2.78
Zn: 0.2500 0.2500 0.7500 (multiplicity 4)  4 Zr 2.78
As: 0.2500 0.2500 0.2500 (multiplicity 4)  4 Zr 2.78

E_form: -97 meV/atom



8.
CrCo6Cu after structural relaxation. Source: Alexandria, functional GGA-PBE.

Unit cell a=7.0761 b=9.9996 c=9.9995 alpha=90.00 beta=90.00 gamma=90.00
Last column: nearest neighbours and their distance in Å.
Space group Cmmm (No. 65)
Inequivalent atoms, fractional coordinates:
Cr: 0.0000 0.0000 0.2491 (multiplicity 4)  12 Co 2.49-2.51
Cr: 0.0000 0.2462 0.5000 (multiplicity 4)  12 Co 2.46-2.54
Co: 0.0000 0.0000 0.0000 (multiplicity 2)  2 Cr 2.49, 2 Cu 2.49, 8 Co 2.50
Co: 0.0000 0.0000 0.5000 (multiplicity 2)  4 Cr 2.46-2.51, 8 Co 2.49
Co: 0.0000 0.2487 0.2520 (multiplicity 8)  2 Cr 2.48-2.49, 8 Co 2.48-2.52, 2 Cu 2.51-2.52
Co: 0.0000 0.5000 0.0000 (multiplicity 2)  4 Cu 2.50-2.51, 8 Co 2.51
Co: 0.0000 0.5000 0.5000 (multiplicity 2)  2 Cu 2.50, 8 Co 2.50, 2 Cr 2.54
Co: 0.2493 0.1250 0.1262 (multiplicity 16)  1 Cr 2.49, 8 Co 2.50-2.52, 3 Cu 2.50-2.51
Co: 0.2488 0.1259 0.3765 (multiplicity 16)  3 Cr 2.46-2.51, 8 Co 2.47-2.52, 1 Cu 2.52
Cu: 0.0000 0.2493 0.0000 (multiplicity 4)  12 Co 2.49-2.52
Cu: 0.0000 0.5000 0.2500 (multiplicity 4)  12 Co 2.50-2.52

E_form: 79 meV/atom



| no. | VASP energy (eV for the cell shown) |
| --- | --- |
| 1 | -76.04 |
| 2 | -32.56 |
| 3 | -23.81 |
| 4 | -24.15 |
| 5 | -28.71 |
| 6 | -71.45 |
| 7 | -59.05 |
| 8 | -445.78 |